# 1
# Na2Mn3Br8 | Alexandria | PBE | relaxed
data_Na2Mn3Br8
_space_group_name_H-M_alt 'P 1'
_space_group_IT_number 1
_cell_length_a 6.855
_cell_length_b 8.309
_cell_length_c 8.309
_cell_angle_alpha 57.01
_cell_angle_beta 75.82
_cell_angle_gamma 75.82
loop_
_space_group_symop_operation_xyz
'x,y,z'
loop_
_atom_site_label
_atom_site_fract_x
_atom_site_fract_y
_atom_site_fract_z
_atom_site_occupancy
Br1 0.391 0.656 0.126 1
Mn1 0.000 0.259 0.741 1
Br2 0.897 0.894 0.894 1
Na1 0.350 0.735 0.735 1
Na2 0.650 0.265 0.265 1
Mn2 0.000 0.741 0.259 1
Br3 0.928 0.388 0.388 1
Br4 0.072 0.612 0.612 1
Br5 0.391 0.126 0.656 1
Mn3 0.500 0.000 0.000 1
Br6 0.103 0.106 0.106 1
Br7 0.609 0.344 0.874 1
Br8 0.609 0.874 0.344 1
# Formation energy from raw total energies (eV per atom): -1.01
# Crystal system: monoclinic



# 2
# Pm2GdHf | Alexandria | PBE | relaxed
data_Pm2GdHf
_space_group_name_H-M_alt 'P 1'
_space_group_IT_number 1
_cell_length_a 4.890
_cell_length_b 4.941
_cell_length_c 4.941
_cell_angle_alpha 90.00
_cell_angle_beta 90.00
_cell_angle_gamma 90.00
loop_
_space_group_symop_operation_xyz
'x,y,z'
loop_
_atom_site_label
_atom_site_fract_x
_atom_site_fract_y
_atom_site_fract_z
_atom_site_occupancy
Gd1 0.500 0.000 0.000 1
Pm1 0.000 0.500 0.000 1
Hf1 0.500 0.500 0.500 1
Pm2 0.000 0.000 0.500 1
# Energy relative to the lowest polymorph listed for this composition (eV/atom): 0.0000
# ΔE_f (eV/atom): 0.17
# Crystal system: tetragonal



Which formula does entry 1 have? Na2Mn3Br8



Number 2 is which compound? Pm2GdHf